Here is a relaxed SrHf2Cu crystal from Alexandria. Energies are from PBE-GGA.

The structure in POSCAR format:
```
SrHf2Cu
1.0
0.000 3.539 3.539
3.539 0.000 3.539
3.539 3.539 0.000
Sr Hf Cu
1 2 1
Cartesian
3.539 3.539 3.539
1.769 1.769 1.769
5.308 5.308 5.308
0.000 0.000 0.000
```

Computed properties:
* offset from the most stable computed form: 0.0 meV per atom
* density of states at the Fermi level: 1.862 states/eV/atom
* SG: No. 225
* E_form: 0.811 eV/atom